1:
{
  "formula": "KTl3Se",
  "functional": "GGA-PBE",
  "state": "relaxed",
  "lattice": [[6.1097, 0.0000, 0.0000], [0.0000, 6.1097, 0.0000], [0.0000, 0.0000, 6.1097]],
  "species": ["K", "Tl", "Tl", "Tl", "Se"],
  "fractional_positions": [[0.0000, 0.0000, 0.0000], [0.0000, 0.0000, 0.5000], [0.0000, 0.5000, 0.0000], [0.5000, 0.0000, 0.0000], [0.5000, 0.5000, 0.5000]],
  "magnetic_moment_mub_per_cell": 0.00
}

***

2:
{
  "formula": "KTl3Se",
  "functional": "GGA-PBE",
  "state": "relaxed",
  "lattice": [[6.0779, 0.0000, 0.0000], [0.0000, 6.0779, 0.0000], [0.0000, 0.0000, 6.0779]],
  "species": ["K", "Tl", "Tl", "Tl", "Se"],
  "fractional_positions": [[0.0000, 0.0000, 0.0000], [0.0000, 0.5000, 0.5000], [0.5000, 0.0000, 0.5000], [0.5000, 0.5000, 0.0000], [0.5000, 0.5000, 0.5000]],
  "magnetic_moment_mub_per_cell": 0.00
}

***

Looking at the structures above, which would you pick as the most stable? I would pick 2.